Record 1
VASP calculation (PBE-GGA) on crystalline AcPm12Ho7 at its relaxed geometry.

Values from the calculation:
E_tot in eV/atom: -4.0113
Space group: Im-3 (204)
E_form in eV/atom: 0.647

Unit cell a=10.0406 b=10.0406 c=10.0406 alpha=109.47 beta=109.47 gamma=109.47
Atoms (fractional coordinates):
Ac 0.0000 0.0000 0.0000
Pm 0.2634 0.2666 0.5300
Pm 0.5300 0.2634 0.2666
Pm 0.2634 0.7334 0.9969
Pm 0.7334 0.4700 0.7366
Pm 0.2666 0.5300 0.2634
Pm 0.7334 0.9969 0.2634
Pm 0.7366 0.7334 0.4700
Pm 0.4700 0.7366 0.7334
Pm 0.2666 0.0031 0.7366
Pm 0.9969 0.2634 0.7334
Pm 0.0031 0.7366 0.2666
Pm 0.7366 0.2666 0.0031
Ho 0.5000 0.0000 0.5000
Ho 0.0000 0.5000 0.0000
Ho 0.5000 0.5000 0.0000
Ho 0.0000 0.0000 0.5000
Ho 0.5000 0.0000 0.0000
Ho 0.5000 0.5000 0.5000
Ho 0.0000 0.5000 0.5000


Record 2
VASP calculation (PBE-GGA) on crystalline Ac4PmHo2 at its relaxed geometry.

Values from the calculation:
E_tot in eV/atom: -4.1362
Space group: Fdd2 (43)
E_form in eV/atom: 0.198

Unit cell a=7.5897 b=7.5897 c=12.4833 alpha=97.44 beta=97.44 gamma=125.02
Atoms (fractional coordinates):
Ac 0.7457 0.2325 0.6894
Ac 0.2325 0.2442 0.6899
Ac 0.7931 0.8064 0.3113
Ac 0.8045 0.2929 0.3102
Ac 0.2929 0.8045 0.8102
Ac 0.8064 0.7931 0.8113
Ac 0.2325 0.7457 0.1894
Ac 0.2442 0.2325 0.1899
Ho 0.6698 0.9197 0.0534
Ho 0.3672 0.1168 0.4470
Ho 0.9197 0.6698 0.5534
Ho 0.1168 0.3672 0.9470
Pm 0.6431 0.3929 0.0003
Pm 0.3929 0.6431 0.5003


Record 3
VASP calculation (PBE-GGA) on crystalline Ac2Pm4Ho7 at its relaxed geometry.

Values from the calculation:
E_tot in eV/atom: -4.3568
Space group: P-31m (162)
E_form in eV/atom: 0.202

Unit cell a=6.2043 b=6.2043 c=13.5475 alpha=90.00 beta=90.00 gamma=120.00
Atoms (fractional coordinates):
Ac 0.6667 0.3333 0.0000
Ac 0.3333 0.6667 0.0000
Ho 0.0000 0.3517 0.2172
Ho 0.0000 0.6483 0.7828
Ho 0.3517 0.0000 0.2172
Ho 0.0000 0.0000 0.0000
Ho 0.6483 0.6483 0.2172
Ho 0.3517 0.3517 0.7828
Ho 0.6483 0.0000 0.7828
Pm 0.6667 0.3333 0.5000
Pm 0.0000 0.0000 0.6056
Pm 0.3333 0.6667 0.5000
Pm 0.0000 0.0000 0.3944


Record 4
VASP calculation (PBE-GGA) on crystalline AcPm10Ho4 at its relaxed geometry.

Values from the calculation:
E_tot in eV/atom: -4.1757
Space group: I4/m (87)
E_form in eV/atom: 0.486

Unit cell a=6.9004 b=9.6490 c=9.6490 alpha=82.65 beta=69.05 gamma=69.05
Atoms (fractional coordinates):
Ac 0.0000 0.0000 0.0000
Pm 0.6232 0.4194 0.8383
Pm 0.0426 0.8383 0.5806
Pm 0.2500 0.5000 0.5000
Pm 0.4616 0.1617 0.4194
Pm 0.9574 0.1617 0.4194
Pm 0.8810 0.5806 0.1617
Pm 0.1190 0.4194 0.8383
Pm 0.5384 0.8383 0.5806
Pm 0.7500 0.5000 0.5000
Pm 0.3768 0.5806 0.1617
Ho 0.5675 0.1113 0.7537
Ho 0.6788 0.7537 0.8887
Ho 0.3212 0.2463 0.1113
Ho 0.4325 0.8887 0.2463


Record 5
VASP calculation (PBE-GGA) on crystalline AcPm2Ho8 at its relaxed geometry.

Values from the calculation:
E_tot in eV/atom: -4.4319
Space group: Immm (71)
E_form in eV/atom: 0.135

Unit cell a=5.5136 b=8.2354 c=9.5033 alpha=115.68 beta=106.86 gamma=90.00
Atoms (fractional coordinates):
Ho 0.6446 0.8494 0.2892
Ho 0.3554 0.5602 0.7108
Ho 0.1615 0.1615 0.3229
Ho 0.6446 0.4398 0.2892
Ho 0.8385 0.8385 0.6771
Ho 0.0000 0.2968 0.0000
Ho 0.3554 0.1506 0.7108
Ho 0.0000 0.7032 0.0000
Pm 0.1991 0.6991 0.3983
Pm 0.8009 0.3009 0.6017
Ac 0.5000 0.0000 0.0000


Record 6
VASP calculation (PBE-GGA) on crystalline Ac3Pm2Ho6 at its relaxed geometry.

Values from the calculation:
E_tot in eV/atom: -4.2463
Space group: C2/m (12)
E_form in eV/atom: 0.235

Unit cell a=6.3752 b=6.3839 c=11.7469 alpha=84.76 beta=79.46 gamma=60.05
Atoms (fractional coordinates):
Ho 0.9120 0.6684 0.2583
Ho 0.5804 0.3316 0.2583
Ho 0.4196 0.6684 0.7417
Ho 0.2492 0.0000 0.2578
Ho 0.7508 0.0000 0.7422
Ho 0.0880 0.3316 0.7417
Pm 0.1662 0.6676 0.5000
Pm 0.8338 0.3324 0.5000
Ac 0.0000 0.0000 0.0000
Ac 0.6649 0.6702 0.0000
Ac 0.3351 0.3298 0.0000


Record 7
VASP calculation (PBE-GGA) on crystalline Ac3Pm5Ho2 at its relaxed geometry.

Values from the calculation:
E_tot in eV/atom: -4.1809
Space group: Ibam (72)
E_form in eV/atom: 0.343

Unit cell a=11.2176 b=9.9381 c=10.3157 alpha=118.80 beta=122.94 gamma=90.00
Atoms (fractional coordinates):
Pm 0.5061 0.2561 0.5122
Pm 0.6213 0.7208 0.2425
Pm 0.0061 0.2561 0.5122
Pm 0.4939 0.7439 0.4878
Pm 0.7500 0.5000 0.0000
Pm 0.9939 0.7439 0.4878
Pm 0.2500 0.5000 0.0000
Pm 0.8787 0.4782 0.7575
Pm 0.3787 0.2792 0.7575
Pm 0.1213 0.5218 0.2425
Ac 0.7500 0.0000 0.0000
Ac 0.2500 0.0000 0.0000
Ac 0.8761 0.1238 0.7523
Ac 0.3761 0.6285 0.7523
Ac 0.6239 0.3715 0.2477
Ac 0.1239 0.8762 0.2477
Ho 0.1390 0.2327 0.2780
Ho 0.6390 0.0453 0.2780
Ho 0.3610 0.9547 0.7220
Ho 0.8610 0.7673 0.7220


Record 8
VASP calculation (PBE-GGA) on crystalline Ac3Pm2Ho2 at its relaxed geometry.

Values from the calculation:
E_tot in eV/atom: -4.3658
Space group: Cmmm (65)
E_form in eV/atom: 0.060

Unit cell a=5.6369 b=3.7340 c=12.8775 alpha=90.00 beta=77.36 gamma=90.00
Atoms (fractional coordinates):
Ac 0.8459 0.0000 0.3082
Ac 0.1541 0.0000 0.6918
Ac 0.0000 0.0000 0.0000
Pm 0.4266 0.5000 0.1467
Pm 0.5734 0.5000 0.8533
Ho 0.7148 0.5000 0.5704
Ho 0.2852 0.5000 0.4296


Record 9
VASP calculation (PBE-GGA) on crystalline AcPm3Ho8 at its relaxed geometry.

Values from the calculation:
E_tot in eV/atom: -4.5502
Space group: Imm2 (44)
E_form in eV/atom: 0.032

Unit cell a=8.5390 b=8.5390 c=8.5472 alpha=95.59 beta=100.23 gamma=136.45
Atoms (fractional coordinates):
Ho 0.8338 0.2559 0.0835
Ho 0.4973 0.8318 0.6660
Ho 0.5013 0.3307 0.1708
Ho 0.1724 0.2565 0.4225
Ho 0.1723 0.7503 0.9165
Ho 0.8340 0.7499 0.5775
Ho 0.1599 0.3305 0.8292
Ho 0.1659 0.8314 0.3340
Pm 0.8359 0.3359 0.5000
Pm 0.4953 0.2429 0.7475
Pm 0.4954 0.7478 0.2525
Ac 0.8364 0.8365 0.0000


Record 10
VASP calculation (PBE-GGA) on crystalline AcPm8Ho2 at its relaxed geometry.

Values from the calculation:
E_tot in eV/atom: -4.5368
Space group: Immm (71)
E_form in eV/atom: 0.124

Unit cell a=5.6218 b=8.5166 c=9.5581 alpha=116.46 beta=107.10 gamma=90.00
Atoms (fractional coordinates):
Ho 0.7998 0.2999 0.5997
Ho 0.2002 0.7001 0.4003
Pm 0.1610 0.1610 0.3220
Pm 0.6454 0.4431 0.2909
Pm 0.8390 0.8390 0.6780
Pm 0.6454 0.8478 0.2909
Pm 0.0000 0.7018 0.0000
Pm 0.0000 0.2982 0.0000
Pm 0.3546 0.1522 0.7091
Pm 0.3546 0.5569 0.7091
Ac 0.5000 0.0000 0.0000


Record 11
VASP calculation (PBE-GGA) on crystalline AcPmHo2 at its relaxed geometry.

Values from the calculation:
E_tot in eV/atom: -4.4506
Space group: R3m (160)
E_form in eV/atom: 0.053

Unit cell a=3.7117 b=3.7117 c=11.9544 alpha=81.07 beta=81.07 gamma=60.00
Atoms (fractional coordinates):
Ho 0.0853 0.0853 0.7442
Ho 0.2479 0.2479 0.2563
Pm 0.5003 0.5003 0.4990
Ac 0.6665 0.6665 0.0004


Record 12
VASP calculation (PBE-GGA) on crystalline AcPm8Ho2 at its relaxed geometry.

Values from the calculation:
E_tot in eV/atom: -4.4954
Space group: C2/m (12)
E_form in eV/atom: 0.165

Unit cell a=6.8350 b=10.5551 c=10.5551 alpha=37.90 beta=58.12 gamma=58.12
Atoms (fractional coordinates):
Ac 0.0000 0.0000 0.0000
Pm 0.2681 0.4072 0.4072
Pm 0.8139 0.2383 0.2383
Pm 0.2401 0.3609 0.8237
Pm 0.7319 0.5928 0.5928
Pm 0.7599 0.6391 0.1763
Pm 0.7599 0.1763 0.6391
Pm 0.1860 0.7617 0.7617
Pm 0.2401 0.8237 0.3609
Ho 0.3628 0.2123 0.2123
Ho 0.6372 0.7877 0.7877


Which of these has the highest E_tot? AcPm12Ho7